(1)
This record from Alexandria via LeMat-Bulk describes a relaxed structure of DyTmInRu. The functional is PBE.

Calculated values
The magnetization comes out at 0.000 μB/atom. As for the density: 10119 kg/m³. The value obtained for the energy relative to the lowest polymorph listed for this composition is 137 meV per atom.

Cell and atoms, written as CIF:
```
data_DyTmInRu
_chemical_formula_sum 'Dy4 Tm4 In4 Ru4'
_symmetry_space_group_name_H-M 'F -4 3 m'
_symmetry_Int_Tables_number 216
_symmetry_space_group_name_Hall 'F -4 2 3'
_cell_length_a 7.1090
_cell_length_b 7.1090
_cell_length_c 7.1090
_cell_angle_alpha 90.00
_cell_angle_beta 90.00
_cell_angle_gamma 90.00
loop_
_atom_site_label
_atom_site_type_symbol
_atom_site_fract_x
_atom_site_fract_y
_atom_site_fract_z
Dy1 Dy 0.0000 0.0000 0.0000
Tm1 Tm 0.0000 0.0000 0.5000
In1 In 0.2500 0.2500 0.7500
Ru1 Ru 0.2500 0.2500 0.2500
```

***

(2)
This record from Alexandria via LeMat-Bulk describes a relaxed structure of DyTmInRu. The functional is PBE.

Calculated values
The magnetization comes out at 0.000 μB/atom. As for the density: 9920 kg/m³. The value obtained for the energy relative to the lowest polymorph listed for this composition is 0 meV per atom.

Cell and atoms, written as CIF:
```
data_DyTmInRu
_chemical_formula_sum 'Dy1 Tm1 In1 Ru1'
_symmetry_space_group_name_H-M 'P 4 m m'
_symmetry_Int_Tables_number 99
_symmetry_space_group_name_Hall 'P 4 -2'
_cell_length_a 3.4325
_cell_length_b 3.4325
_cell_length_c 7.7759
_cell_angle_alpha 90.00
_cell_angle_beta 90.00
_cell_angle_gamma 90.00
loop_
_atom_site_label
_atom_site_type_symbol
_atom_site_fract_x
_atom_site_fract_y
_atom_site_fract_z
Dy1 Dy 0.0000 0.0000 0.0000
Tm1 Tm 0.0000 0.0000 0.5782
In1 In 0.5000 0.5000 0.2929
Ru1 Ru 0.5000 0.5000 0.7837
```

***

(3)
This record from Alexandria via LeMat-Bulk describes a relaxed structure of Dy2U2InRu5. The functional is PBE.

Calculated values
The magnetization comes out at 0.000 μB/atom. As for the density: 11959 kg/m³. The raw total energy comes out at -0.3035 hartree per atom.

Cell and atoms, written as CIF:
```
data_Dy2U2InRu5
_chemical_formula_sum 'Dy4 U4 In2 Ru10'
_symmetry_space_group_name_H-M 'P 4/m b m'
_symmetry_Int_Tables_number 127
_symmetry_space_group_name_Hall '-P 4 2ab'
_cell_length_a 10.7516
_cell_length_b 10.7516
_cell_length_c 3.4144
_cell_angle_alpha 90.00
_cell_angle_beta 90.00
_cell_angle_gamma 90.00
loop_
_atom_site_label
_atom_site_type_symbol
_atom_site_fract_x
_atom_site_fract_y
_atom_site_fract_z
Dy1 Dy 0.1674 0.3326 0.0000
U1 U 0.1441 0.6441 0.0000
In1 In 0.0000 0.0000 0.0000
Ru1 Ru 0.0000 0.5000 0.5000
Ru2 Ru 0.0455 0.7854 0.5000
```

***

(4)
This record from Alexandria via LeMat-Bulk describes a relaxed structure of DyYInRu. The functional is PBE.

Calculated values
The magnetization comes out at 0.000 μB/atom. As for the density: 8439 kg/m³. The value obtained for the energy relative to the lowest polymorph listed for this composition is 118 meV per atom.

Cell and atoms, written as CIF:
```
data_DyYInRu
_chemical_formula_sum 'Dy4 Y4 In4 Ru4'
_symmetry_space_group_name_H-M 'F -4 3 m'
_symmetry_Int_Tables_number 216
_symmetry_space_group_name_Hall 'F -4 2 3'
_cell_length_a 7.1648
_cell_length_b 7.1648
_cell_length_c 7.1648
_cell_angle_alpha 90.00
_cell_angle_beta 90.00
_cell_angle_gamma 90.00
loop_
_atom_site_label
_atom_site_type_symbol
_atom_site_fract_x
_atom_site_fract_y
_atom_site_fract_z
Dy1 Dy 0.0000 0.0000 0.0000
Y1 Y 0.0000 0.0000 0.5000
In1 In 0.2500 0.2500 0.2500
Ru1 Ru 0.2500 0.2500 0.7500
```